{
  "formula": "MnPtAu",
  "functional": "PBE-GGA",
  "state": "relaxed",
  "lattice": [[-1.4623, 1.8580, 4.4286], [1.4623, -1.8580, 4.4286], [1.4623, 1.8580, -4.4286]],
  "species": ["Mn", "Pt", "Au"],
  "fractional_positions": [[0.0000, 0.0000, 0.0000], [0.6483, 0.6483, 0.0000], [0.3299, 0.3299, 0.0000]],
  "polymorph_energy_mev_per_atom": 9,
  "e_tot_ev_per_atom": -6.358,
  "ef_ev_per_atom": -0.196
}


{
  "formula": "Mn2PtAu",
  "functional": "PBE-GGA",
  "state": "relaxed",
  "lattice": [[2.9340, 0.0000, 0.0000], [0.0000, 4.0011, 0.0000], [0.0000, 0.0000, 5.4892]],
  "species": ["Mn", "Mn", "Pt", "Au"],
  "fractional_positions": [[0.0000, 0.0000, 0.0000], [0.5000, 0.5000, 0.2959], [0.0000, 0.0000, 0.4811], [0.5000, 0.5000, 0.7945]],
  "polymorph_energy_mev_per_atom": 117,
  "e_tot_ev_per_atom": -6.972,
  "ef_ev_per_atom": -0.058
}


{
  "formula": "MnPtAu",
  "functional": "PBE-GGA",
  "state": "relaxed",
  "lattice": [[-1.4835, 1.4835, 5.4958], [1.4835, -1.4835, 5.4958], [1.4835, 1.4835, -5.4958]],
  "species": ["Mn", "Pt", "Au"],
  "fractional_positions": [[0.0000, 0.0000, 0.0000], [0.6467, 0.6467, 0.0000], [0.3325, 0.3325, 0.0000]],
  "polymorph_energy_mev_per_atom": 16,
  "e_tot_ev_per_atom": -6.351,
  "ef_ev_per_atom": -0.189
}


{
  "formula": "Mn4Pt5Au",
  "functional": "PBE-GGA",
  "state": "relaxed",
  "lattice": [[3.2291, 0.0000, 0.0000], [0.0000, 3.2291, 0.0000], [0.0000, 0.0000, 14.8835]],
  "species": ["Mn", "Mn", "Mn", "Mn", "Pt", "Pt", "Pt", "Pt", "Pt", "Au"],
  "fractional_positions": [[0.0000, 0.0000, 0.0994], [0.0000, 0.0000, 0.2990], [0.0000, 0.0000, 0.7010], [0.0000, 0.0000, 0.9006], [0.5000, 0.5000, 0.0000], [0.5000, 0.5000, 0.1960], [0.5000, 0.5000, 0.3867], [0.5000, 0.5000, 0.6133], [0.5000, 0.5000, 0.8040], [0.0000, 0.0000, 0.5000]],
  "e_tot_ev_per_atom": -7.303,
  "ef_ev_per_atom": -0.287
}


{
  "formula": "MnPt2Au2",
  "functional": "PBE-GGA",
  "state": "relaxed",
  "lattice": [[6.7148, 0.0000, 0.0000], [0.0000, 6.7148, 0.0000], [0.0000, 0.0000, 3.9564]],
  "species": ["Mn", "Mn", "Pt", "Pt", "Pt", "Pt", "Au", "Au", "Au", "Au"],
  "fractional_positions": [[0.0000, 0.0000, 0.0000], [0.5000, 0.5000, 0.0000], [0.1406, 0.3594, 0.0000], [0.3594, 0.8594, 0.0000], [0.6406, 0.1406, 0.0000], [0.8594, 0.6406, 0.0000], [0.1629, 0.6629, 0.5000], [0.3371, 0.1629, 0.5000], [0.6629, 0.8371, 0.5000], [0.8371, 0.3371, 0.5000]],
  "polymorph_energy_mev_per_atom": 0,
  "e_tot_ev_per_atom": -5.528,
  "ef_ev_per_atom": 0.033
}


{
  "formula": "Mn2PtAu",
  "functional": "PBE-GGA",
  "state": "relaxed",
  "lattice": [[1.4511, 0.8378, 8.7002], [-1.4511, 0.8378, 8.7002], [0.0000, -1.6756, 8.7002]],
  "species": ["Mn", "Mn", "Pt", "Au"],
  "fractional_positions": [[0.2480, 0.2480, 0.2480], [0.7520, 0.7520, 0.7520], [0.5000, 0.5000, 0.5000], [0.0000, 0.0000, 0.0000]],
  "polymorph_energy_mev_per_atom": 170,
  "e_tot_ev_per_atom": -6.920,
  "ef_ev_per_atom": -0.005
}


{
  "formula": "MnPtAu3",
  "functional": "PBE-GGA",
  "state": "relaxed",
  "lattice": [[4.9195, 0.0000, 0.0000], [0.0000, 4.7974, 0.0000], [-2.2997, 0.0000, 7.2018]],
  "species": ["Mn", "Mn", "Pt", "Pt", "Au", "Au", "Au", "Au", "Au", "Au"],
  "fractional_positions": [[0.0350, 0.2500, 0.3740], [0.9650, 0.7500, 0.6260], [0.4343, 0.2500, 0.1971], [0.5657, 0.7500, 0.8029], [0.1675, 0.7500, 0.0113], [0.2380, 0.2500, 0.7797], [0.3472, 0.7500, 0.4174], [0.6528, 0.2500, 0.5826], [0.7620, 0.7500, 0.2203], [0.8325, 0.2500, 0.9887]],
  "polymorph_energy_mev_per_atom": 0,
  "e_tot_ev_per_atom": -5.053,
  "ef_ev_per_atom": -0.045
}


{
  "formula": "Rb2MnPtAu",
  "functional": "PBE-GGA",
  "state": "relaxed",
  "lattice": [[6.6562, 0.0000, 0.0000], [0.0000, 6.6562, 0.0000], [0.0000, 0.0000, 4.7311]],
  "species": ["Rb", "Rb", "Mn", "Pt", "Au"],
  "fractional_positions": [[0.0000, 0.5000, 0.0000], [0.5000, 0.0000, 0.0000], [0.0000, 0.0000, 0.0000], [0.0000, 0.0000, 0.5000], [0.5000, 0.5000, 0.5000]],
  "e_tot_ev_per_atom": -3.633,
  "ef_ev_per_atom": 0.452
}


{
  "formula": "Mn2Sb2PtAu",
  "functional": "PBE-GGA",
  "state": "relaxed",
  "lattice": [[2.2424, 1.2946, 7.3401], [-2.2424, 1.2946, 7.3401], [0.0000, -2.5893, 7.3401]],
  "species": ["Mn", "Mn", "Sb", "Sb", "Pt", "Au"],
  "fractional_positions": [[0.0000, 0.0000, 0.0000], [0.4943, 0.4943, 0.4943], [0.2437, 0.2437, 0.2437], [0.7504, 0.7504, 0.7504], [0.1211, 0.1211, 0.1211], [0.6232, 0.6232, 0.6232]],
  "formation_energy_uncorrected_ev_per_atom": -0.1809,
  "e_tot_ev_per_atom": -6.165
}


{
  "formula": "TbMnPtAu",
  "functional": "PBE-GGA",
  "state": "relaxed",
  "lattice": [[0.0000, 3.3888, 3.3888], [3.3888, 0.0000, 3.3888], [3.3888, 3.3888, 0.0000]],
  "species": ["Tb", "Mn", "Pt", "Au"],
  "fractional_positions": [[0.0000, 0.0000, 0.0000], [0.5000, 0.5000, 0.5000], [0.2500, 0.2500, 0.2500], [0.7500, 0.7500, 0.7500]],
  "e_tot_ev_per_atom": -6.356,
  "ef_ev_per_atom": -0.577
}


{
  "formula": "TiMnPtAu",
  "functional": "PBE-GGA",
  "state": "relaxed",
  "lattice": [[0.0000, 3.1863, 3.1863], [3.1863, 0.0000, 3.1863], [3.1863, 3.1863, 0.0000]],
  "species": ["Ti", "Mn", "Pt", "Au"],
  "fractional_positions": [[0.0000, 0.0000, 0.0000], [0.5000, 0.5000, 0.5000], [0.2500, 0.2500, 0.2500], [0.7500, 0.7500, 0.7500]],
  "e_tot_ev_per_atom": -6.993,
  "ef_ev_per_atom": -0.397
}


{
  "formula": "TmMnPtAu",
  "functional": "PBE-GGA",
  "state": "relaxed",
  "lattice": [[0.0000, 3.3492, 3.3492], [3.3492, 0.0000, 3.3492], [3.3492, 3.3492, 0.0000]],
  "species": ["Tm", "Mn", "Pt", "Au"],
  "fractional_positions": [[0.0000, 0.0000, 0.0000], [0.5000, 0.5000, 0.5000], [0.2500, 0.2500, 0.2500], [0.7500, 0.7500, 0.7500]],
  "e_tot_ev_per_atom": -6.366,
  "ef_ev_per_atom": -0.626
}


{
  "formula": "Pu2MnAu",
  "functional": "PBE-GGA",
  "state": "relaxed",
  "lattice": [[1.4805, 0.8548, 10.6382], [-1.4805, 0.8548, 10.6382], [0.0000, -1.7096, 10.6382]],
  "species": ["Pu", "Pu", "Mn", "Au"],
  "fractional_positions": [[0.0942, 0.0942, 0.0942], [0.9058, 0.9058, 0.9058], [0.5000, 0.5000, 0.5000], [0.0000, 0.0000, 0.0000]],
  "e_tot_ev_per_atom": -9.955,
  "ef_ev_per_atom": 0.322
}


{
  "formula": "Pu2MnAu",
  "functional": "PBE-GGA",
  "state": "relaxed",
  "lattice": [[3.2029, 0.0000, 0.0000], [0.0000, 3.2029, 0.0000], [0.0000, 0.0000, 8.1420]],
  "species": ["Pu", "Pu", "Mn", "Au"],
  "fractional_positions": [[0.0000, 0.0000, 0.2232], [0.0000, 0.0000, 0.7768], [0.5000, 0.5000, 0.0000], [0.5000, 0.5000, 0.5000]],
  "e_tot_ev_per_atom": -10.423,
  "ef_ev_per_atom": -0.145
}


{
  "formula": "Pu2MnAu",
  "functional": "PBE-GGA",
  "state": "relaxed",
  "lattice": [[4.1621, 0.0000, 0.0000], [0.0000, 4.1621, 0.0000], [0.0000, 0.0000, 4.9116]],
  "species": ["Pu", "Pu", "Mn", "Au"],
  "fractional_positions": [[0.0000, 0.5000, 0.0000], [0.5000, 0.0000, 0.0000], [0.0000, 0.0000, 0.5000], [0.5000, 0.5000, 0.5000]],
  "e_tot_ev_per_atom": -10.137,
  "ef_ev_per_atom": 0.141
}


{
  "formula": "PuMnAu2",
  "functional": "PBE-GGA",
  "state": "relaxed",
  "lattice": [[3.2290, 0.0000, 0.0000], [0.0000, 3.2290, 0.0000], [0.0000, 0.0000, 7.5698]],
  "species": ["Pu", "Mn", "Au", "Au"],
  "fractional_positions": [[0.0000, 0.0000, 0.0000], [0.0000, 0.0000, 0.5000], [0.5000, 0.5000, 0.2927], [0.5000, 0.5000, 0.7073]],
  "e_tot_ev_per_atom": -7.713,
  "ef_ev_per_atom": -0.199
}


{
  "formula": "PuMnRuAu",
  "functional": "PBE-GGA",
  "state": "relaxed",
  "lattice": [[0.0000, 3.2541, 3.2541], [3.2541, 0.0000, 3.2541], [3.2541, 3.2541, 0.0000]],
  "species": ["Pu", "Mn", "Ru", "Au"],
  "fractional_positions": [[0.0000, 0.0000, 0.0000], [0.7500, 0.7500, 0.7500], [0.2500, 0.2500, 0.2500], [0.5000, 0.5000, 0.5000]],
  "e_tot_ev_per_atom": -8.843,
  "ef_ev_per_atom": 0.171
}


{
  "formula": "PuUMnAu",
  "functional": "PBE-GGA",
  "state": "relaxed",
  "lattice": [[0.0000, 3.3357, 3.3357], [3.3357, 0.0000, 3.3357], [3.3357, 3.3357, 0.0000]],
  "species": ["Pu", "U", "Mn", "Au"],
  "fractional_positions": [[0.0000, 0.0000, 0.0000], [0.2500, 0.2500, 0.2500], [0.5000, 0.5000, 0.5000], [0.7500, 0.7500, 0.7500]],
  "e_tot_ev_per_atom": -9.628,
  "ef_ev_per_atom": -0.111
}


{
  "formula": "Rb2MnAu",
  "functional": "PBE-GGA",
  "state": "relaxed",
  "lattice": [[0.0000, 4.2760, 4.2760], [4.2760, 0.0000, 4.2760], [4.2760, 4.2760, 0.0000]],
  "species": ["Rb", "Rb", "Mn", "Au"],
  "fractional_positions": [[0.2500, 0.2500, 0.2500], [0.7500, 0.7500, 0.7500], [0.0000, 0.0000, 0.0000], [0.5000, 0.5000, 0.5000]],
  "e_tot_ev_per_atom": -3.046,
  "ef_ev_per_atom": 0.549
}


{
  "formula": "RbMnRu2Au",
  "functional": "PBE-GGA",
  "state": "relaxed",
  "lattice": [[4.7279, 0.0000, 0.0000], [0.0000, 4.7279, 0.0000], [0.0000, 0.0000, 4.8062]],
  "species": ["Rb", "Mn", "Ru", "Ru", "Au"],
  "fractional_positions": [[0.0000, 0.0000, 0.0000], [0.0000, 0.0000, 0.5000], [0.0000, 0.5000, 0.0000], [0.5000, 0.0000, 0.0000], [0.5000, 0.5000, 0.5000]],
  "polymorph_energy_mev_per_atom": 1166,
  "e_tot_ev_per_atom": -3.741,
  "ef_ev_per_atom": 2.653
}